The following is a DFT calculation (PBE+U) of a geometry-optimized NaZn2WO6 structure.

## Properties
- Mass density: 4.564 Mg/m³
- E: -5.556 eV/atom
- Crystal system: monoclinic

Unit cell a=7.384 b=7.384 c=6.659 alpha=111.21 beta=111.21 gamma=83.32
Element x y z (fractional)
Na: 0.224 0.776 0.750
Na: 0.776 0.224 0.250
Zn: 0.293 0.380 0.861
Zn: 0.380 0.293 0.361
Zn: 0.620 0.707 0.639
Zn: 0.707 0.620 0.139
W: 0.153 0.847 0.250
W: 0.847 0.153 0.750
O: 0.075 0.173 0.710
O: 0.168 0.647 0.000
O: 0.173 0.075 0.210
O: 0.308 0.448 0.618
O: 0.353 0.832 0.500
O: 0.448 0.308 0.118
O: 0.552 0.692 0.882
O: 0.647 0.168 0.500
O: 0.692 0.552 0.382
O: 0.827 0.925 0.790
O: 0.832 0.353 0.000
O: 0.925 0.827 0.290